Below is crystalline AgAsBrCl6 at its relaxed geometry, with properties calculated at the GGA-PBE level.

formation energy without anion corrections = -408 meV/atom
total moment = 0.8 μB per cell

abc: 7.242 7.316 10.641
angles: 138.01 112.05 59.67
Each line ends with the local moment (μB).
Sites, in units of the cell vectors:
Ag 0.668 0.666 0.500  0.24
As 0.417 0.292 0.500  0.01
Br 0.944 0.028 0.000  0.06
Cl 0.954 0.164 0.287  0.09
Cl 0.388 0.164 0.655  0.10
Cl 0.643 0.515 0.713  0.01
Cl 0.954 0.882 0.712  0.09
Cl 0.388 0.448 0.345  0.10
Cl 0.643 0.841 0.287  0.01

---

Below is crystalline CrAgAs2Br at its relaxed geometry, with properties calculated at the GGA-PBE level.

formation energy without anion corrections = 344 meV/atom
energy relative to the lowest polymorph listed for this composition = 0 meV per atom
total moment = 1.7 μB per cell

abc: 4.612 4.612 5.543
angles: 90.00 90.00 90.00
Each line ends with the local moment (μB).
Sites, in units of the cell vectors:
Cr 0.000 0.000 0.000  2.05
As 0.000 0.500 0.000  -0.16
As 0.500 0.000 0.000  -0.16
Br 0.000 0.000 0.500  -0.07
Ag 0.500 0.500 0.500  0.03

---

Below is crystalline CsAgAsBr6 at its relaxed geometry, with properties calculated at the GGA-PBE level.

formation energy without anion corrections = -634 meV/atom
total moment = 1.1 μB per cell

abc: 8.102 7.150 7.150
angles: 120.00 90.00 90.00
Each line ends with the local moment (μB).
Sites, in units of the cell vectors:
Cs 0.000 0.333 0.667  0.00
Ag 0.500 0.667 0.333  0.27
As 0.500 0.000 0.000  -0.01
Br 0.695 0.720 0.678  0.10
Br 0.695 0.322 0.042  0.10
Br 0.695 0.958 0.280  0.10
Br 0.305 0.322 0.280  0.10
Br 0.305 0.720 0.042  0.10
Br 0.305 0.958 0.678  0.10

---

Below is crystalline Cs2AgAsBr6 at its relaxed geometry, with properties calculated at the GGA-PBE level.

formation energy without anion corrections = -991 meV/atom
total moment = 0.0 μB per cell

abc: 7.849 7.849 7.849
angles: 60.00 60.00 60.00
Sites, in units of the cell vectors:
Cs 0.750 0.750 0.750
Cs 0.250 0.250 0.250
Ag 0.500 0.500 0.500
As 0.000 0.000 0.000
Br 0.758 0.242 0.242
Br 0.242 0.242 0.758
Br 0.242 0.758 0.758
Br 0.242 0.758 0.242
Br 0.758 0.242 0.758
Br 0.758 0.758 0.242

---

Below is crystalline CuAgAs2Br at its relaxed geometry, with properties calculated at the GGA-PBE level.

formation energy without anion corrections = 997 meV/atom
energy relative to the lowest polymorph listed for this composition = 417 meV per atom
total moment = 1.8 μB per cell

abc: 5.026 5.026 5.390
angles: 90.00 90.00 90.00
Each line ends with the local moment (μB).
Sites, in units of the cell vectors:
As 0.000 0.500 0.000  0.35
As 0.500 0.000 0.000  0.35
Cu 0.500 0.500 0.500  0.06
Br 0.000 0.000 0.500  0.16
Ag 0.000 0.000 0.000  0.06

---

Below is crystalline CuAgAs2Br at its relaxed geometry, with properties calculated at the GGA-PBE level.

formation energy without anion corrections = 580 meV/atom
energy relative to the lowest polymorph listed for this composition = 0 meV per atom
total moment = 0.6 μB per cell

abc: 4.510 4.510 6.442
angles: 90.00 90.00 90.00
Each line ends with the local moment (μB).
Sites, in units of the cell vectors:
As 0.000 0.500 0.000  0.12
As 0.500 0.000 0.000  0.12
Cu 0.000 0.000 0.000  0.08
Br 0.000 0.000 0.500  0.03
Ag 0.500 0.500 0.500  0.01

---

Below is crystalline Cu2AgAsBr at its relaxed geometry, with properties calculated at the GGA-PBE level.

formation energy without anion corrections = 801 meV/atom
total moment = 0.0 μB per cell

abc: 4.996 4.708 4.996
angles: 90.00 90.00 90.00
Sites, in units of the cell vectors:
As 0.000 0.500 0.000
Cu 0.000 0.000 0.500
Cu 0.500 0.000 0.000
Br 0.500 0.500 0.500
Ag 0.000 0.000 0.000

---

Below is crystalline FeAgAsBr2 at its relaxed geometry, with properties calculated at the GGA-PBE level.

formation energy without anion corrections = 885 meV/atom
energy relative to the lowest polymorph listed for this composition = 577 meV per atom
total moment = 2.6 μB per cell

abc: 5.295 5.295 5.139
angles: 90.00 90.00 90.00
Each line ends with the local moment (μB).
Sites, in units of the cell vectors:
As 0.000 0.000 0.500  -0.50
Br 0.000 0.500 0.000  -0.04
Br 0.500 0.000 0.000  -0.04
Ag 0.000 0.000 0.000  -0.08
Fe 0.500 0.500 0.500  3.48